No. 1
A relaxed Dy2MnS crystal, computed with PBE-GGA.

a = 3.6071 Å, b = 3.6071 Å, c = 27.4143 Å
α = 90.00°, β = 90.00°, γ = 120.00°
With the nearest neighbours (Å) after each atom.
Space group R-3m (No. 166, hexagonal axes)
Symmetry-distinct sites (fractional):
Dy: 0.0000 0.0000 0.1052 [6 per cell]  3 S 2.68, 1 Mn 2.88
Mn: 0.0000 0.0000 0.0000 [3 per cell]  2 Dy 2.88
S: 0.0000 0.0000 0.5000 [3 per cell]  6 Dy 2.68

ρ: 6644 kg/m3
formation energy from raw total energies: -129 kJ/mol of formula units

***

No. 2
A relaxed In2FeTc crystal, computed with PBE-GGA.

a = 10.3315 Å, b = 3.1218 Å, c = 4.6711 Å
α = 90.00°, β = 111.11°, γ = 90.00°
With the nearest neighbours (Å) after each atom.
Space group Cm (No. 8)
Symmetry-distinct sites (fractional):
In: 0.0000 0.0000 0.0000 [2 per cell]  4 Fe 2.83-2.85, 3 Tc 2.94-2.95, 3 In 3.11-3.12
In: 0.2177 0.0000 0.6643 [2 per cell]  4 Tc 2.83-2.84, 3 Fe 2.94-2.96, 4 In 3.11-3.17
Fe: 0.4562 0.0000 0.4627 [2 per cell]  2 Tc 2.50
Tc: 0.2602 0.5000 0.1967 [2 per cell]  2 Fe 2.50

ρ: 9062 kg/m3
DFT total energy: -5.78 eV/atom

***

No. 3
A relaxed LiHgSb2 crystal, computed with PBE-GGA.

a = 4.7941 Å, b = 4.8031 Å, c = 8.8588 Å
α = 90.00°, β = 90.00°, γ = 90.00°
With the nearest neighbours (Å) after each atom.
Space group Cmmm (No. 65)
Symmetry-distinct sites (fractional):
Li: 0.0000 0.0000 0.0000 [2 per cell]  8 Sb 2.88
Hg: 0.0000 0.0000 0.5000 [2 per cell]  4 Hg 3.39, 8 Sb 3.71
Sb: 0.0000 0.5000 0.1804 [4 per cell]  4 Li 2.88, 1 Sb 3.20

ρ: 7344 kg/m3
formation energy from raw total energies: -39 kJ/mol of formula units

***

No. 4
A relaxed Ba2NiSeN crystal, computed with PBE-GGA.

a = 5.8705 Å, b = 5.8705 Å, c = 3.6417 Å
α = 90.00°, β = 90.00°, γ = 90.00°
With the nearest neighbours (Å) after each atom.
Space group P4/mmm (No. 123)
Symmetry-distinct sites (fractional):
Ba: 0.0000 0.5000 0.0000 [2 per cell]  2 Ni 2.94
Ni: 0.0000 0.0000 0.0000 [1 per cell]  2 N 1.82
Se: 0.5000 0.5000 0.5000 [1 per cell]  8 Ba 3.45, 2 Se 3.64
N: 0.0000 0.0000 0.5000 [1 per cell]  2 Ni 1.82

ρ: 5641 kg/m3
formation energy from raw total energies: -356 kJ/mol of formula units

***

No. 5
A relaxed NaCa3Nd3S8 crystal, computed with PBE-GGA.

a = 8.1206 Å, b = 8.1206 Å, c = 19.7948 Å
α = 90.00°, β = 90.00°, γ = 120.00°
With the nearest neighbours (Å) after each atom.
Space group R-3m (No. 166, hexagonal axes)
Symmetry-distinct sites (fractional):
Na: 0.0000 0.0000 0.0000 [3 per cell]  6 S 2.85
Ca: 0.0000 0.5000 0.5000 [9 per cell]  6 S 2.86-2.89
Nd: 0.0000 0.5000 0.0000 [9 per cell]  6 S 2.84-2.87
S: 0.0000 0.0000 0.2495 [6 per cell]  3 Ca 2.86, 3 Nd 2.87
S: 0.0015 0.5007 0.2519 [18 per cell]  2 Nd 2.84, 1 Na 2.85, 2 Ca 2.89

ρ: 3668 kg/m3
formation energy from raw total energies: -2780 kJ/mol of formula units

***

No. 6
A relaxed Nd2TmMg crystal, computed with PBE-GGA.

a = 3.7180 Å, b = 3.7180 Å, c = 9.0061 Å
α = 90.00°, β = 90.00°, γ = 90.00°
With the nearest neighbours (Å) after each atom.
Space group P4/mmm (No. 123)
Symmetry-distinct sites (fractional):
Nd: 0.0000 0.0000 0.2329 [2 per cell]  4 Mg 3.36, 4 Tm 3.56, 4 Nd 3.72
Tm: 0.5000 0.5000 0.5000 [1 per cell]  8 Nd 3.56, 4 Tm 3.72
Mg: 0.5000 0.5000 0.0000 [1 per cell]  8 Nd 3.36, 4 Mg 3.72

ρ: 6425 kg/m3
DFT total energy: -3.93 eV/atom